No. 1
Compound: NdV2BiO8
Source: Alexandria
Functional: PBE with a Hubbard U
Structure: optimized geometry

Lattice parameters (Å, degrees): 5.8707 5.8707 6.8763 90.00 90.00 120.00
Fractional positions:
V 0.6667 0.3333 0.1787
O 0.1656 0.8349 0.7444
O 0.6667 0.3333 0.9396
Nd 0.0000 0.0000 0.5000
O 0.8344 0.1651 0.2556
Bi 0.0000 0.0000 0.0000
O 0.3333 0.6667 0.0604
O 0.3307 0.1656 0.2556
O 0.8349 0.6693 0.2556
V 0.3333 0.6667 0.8213
O 0.6693 0.8344 0.7444
O 0.1651 0.3307 0.7444

SG ... P-3m1, No. 164
Total DFT energy (no corrections) ... -7.3305 eV per atom
N(E_F) ... 0.000 states/eV per atom


No. 2
Compound: NdBiWO6
Source: Alexandria
Functional: PBE with a Hubbard U
Structure: optimized geometry

Lattice parameters (Å, degrees): 5.7606 5.7606 9.4388 90.00 90.00 120.00
Fractional positions:
O 0.6724 0.0529 0.3654
O 0.6195 0.9471 0.8654
Nd 0.6667 0.3333 0.7500
Nd 0.3333 0.6667 0.2500
W 0.3333 0.6667 0.7500
O 0.6195 0.6724 0.6346
W 0.6667 0.3333 0.2500
Bi 0.0000 0.0000 0.0000
O 0.3805 0.0529 0.1346
O 0.9471 0.6195 0.3654
O 0.9471 0.3276 0.1346
O 0.3276 0.9471 0.6346
O 0.3805 0.3276 0.3654
O 0.6724 0.6195 0.1346
O 0.3276 0.3805 0.8654
Bi 0.0000 0.0000 0.5000
O 0.0529 0.3805 0.6346
O 0.0529 0.6724 0.8654

SG ... P-31c, No. 163
Total DFT energy (no corrections) ... -7.2363 eV per atom
N(E_F) ... 0.000 states/eV per atom